Record 1
DFT (PBE) results for a relaxed structure of ScTl2Cu.

Calculated values
VASP energy (eV/cell): -14.95
ΔH_f (0 K) (eV per atom): 0.05
Symmetry: P4/mmm, No. 123
Relative energy among the computed polymorphs (kcal/mol of atoms): 1.69

a = 3.4451 Å, b = 3.4451 Å, c = 7.1708 Å
α = 90.00°, β = 90.00°, γ = 90.00°
With the nearest neighbours (Å) after each atom.
Element x y z (fractional)
Cu  0.5000  0.5000  0.2500  8 Tl 2.92
Sc  0.5000  0.5000  0.7500  8 Tl 3.14, 4 Sc 3.45
Tl  0.0000  0.0000  0.4738  4 Cu 2.92, 4 Sc 3.14, 1 Tl 3.21
Tl  0.0000  0.0000  0.0262  4 Cu 2.92, 4 Sc 3.14, 1 Tl 3.21

Record 2
DFT (PBE) results for a relaxed structure of As2W2N.

Calculated values
VASP energy (eV/cell): -84.16
Raw formation energy (eV per atom): 0.29
Symmetry: P4/mbm, No. 127
Relative energy among the computed polymorphs (kcal/mol of atoms): 0.00

a = 5.5968 Å, b = 5.5968 Å, c = 5.0575 Å
α = 90.00°, β = 90.00°, γ = 90.00°
With the nearest neighbours (Å) after each atom.
Element x y z (fractional)
W  0.3036  0.8036  0.0000  2 N 2.02
N  0.0000  0.0000  0.0000  4 W 2.02
W  0.8036  0.6964  0.0000  2 N 2.02
As  0.3273  0.1727  0.5000  2 W 2.73, 5 As 2.73-2.93
As  0.8273  0.3273  0.5000  2 W 2.73, 5 As 2.73-2.93
W  0.1964  0.3036  0.0000  2 N 2.02
As  0.6727  0.8273  0.5000  2 W 2.73, 5 As 2.73-2.93
As  0.1727  0.6727  0.5000  2 W 2.73, 5 As 2.73-2.93
W  0.6964  0.1964  0.0000  2 N 2.02
N  0.5000  0.5000  0.0000  4 W 2.02

Record 3
DFT (PBE) results for a relaxed structure of ErMgTiAl.

Calculated values
VASP energy (eV/cell): -18.14
ΔH_f (0 K) (eV per atom): -0.09
Symmetry: F-43m, No. 216

a = 4.8776 Å, b = 4.8776 Å, c = 4.8776 Å
α = 60.00°, β = 60.00°, γ = 60.00°
With the nearest neighbours (Å) after each atom.
Element x y z (fractional)
Er  0.7500  0.7500  0.7500  4 Mg 2.99, 4 Al 2.99
Ti  0.2500  0.2500  0.2500  4 Al 2.99, 4 Mg 2.99
Mg  0.5000  0.5000  0.5000  4 Ti 2.99, 4 Er 2.99
Al  0.0000  0.0000  0.0000  4 Er 2.99, 4 Ti 2.99

Record 4
DFT (PBE) results for a relaxed structure of LiGdHgPd.

Calculated values
VASP energy (eV/cell): -23.45
ΔH_f (0 K) (eV per atom): -0.49
Symmetry: F-43m, No. 216

a = 4.9192 Å, b = 4.9192 Å, c = 4.9192 Å
α = 60.00°, β = 60.00°, γ = 60.00°
With the nearest neighbours (Å) after each atom.
Element x y z (fractional)
Li  0.0000  0.0000  0.0000  4 Hg 3.01, 4 Pd 3.01
Gd  0.5000  0.5000  0.5000  4 Pd 3.01, 4 Hg 3.01
Pd  0.7500  0.7500  0.7500  4 Gd 3.01, 4 Li 3.01
Hg  0.2500  0.2500  0.2500  4 Gd 3.01, 4 Li 3.01

Record 5
DFT (PBE) results for a relaxed structure of GeBiPb2Br.

Calculated values
VASP energy (eV/cell): -15.02
Raw formation energy (eV per atom): 0.51
Symmetry: P4/mmm, No. 123

a = 5.7724 Å, b = 5.2426 Å, c = 5.7724 Å
α = 90.00°, β = 90.00°, γ = 90.00°
With the nearest neighbours (Å) after each atom.
Element x y z (fractional)
Ge  0.0000  0.5000  0.0000  2 Br 2.62
Pb  0.5000  0.0000  0.0000  2 Br 2.89
Pb  0.0000  0.0000  0.5000  2 Br 2.89
Br  0.0000  0.0000  0.0000  2 Ge 2.62, 4 Pb 2.89
Bi  0.5000  0.5000  0.5000  8 Pb 3.90, 4 Ge 4.08

Record 6
DFT (PBE) results for a relaxed structure of CuPbCl6.

Calculated values
VASP energy (eV/cell): -22.94
Raw formation energy (eV per atom): -0.51
Symmetry: P-1, No. 2

a = 7.6464 Å, b = 8.2826 Å, c = 6.6714 Å
α = 61.58°, β = 62.99°, γ = 43.05°
With the nearest neighbours (Å) after each atom.
Element x y z (fractional)
Cl  0.6372  0.2336  0.2514  1 Cu 2.30
Cl  0.2713  0.9131  0.1620  1 Cu 2.26
Cu  0.0000  0.0000  0.0000  4 Cl 2.26-2.30
Cl  0.3628  0.7664  0.7486  1 Cu 2.30
Cl  0.7287  0.0869  0.8380  1 Cu 2.26
Cl  0.8884  0.4575  0.3440  1 Pb 2.46
Cl  0.1116  0.5425  0.6560  1 Pb 2.46
Pb  0.5000  0.5000  0.5000  6 Cl 2.46-2.71

Record 7
DFT (PBE) results for a relaxed structure of Pu2HfAg.

Calculated values
VASP energy (eV/cell): -40.62
ΔH_f (0 K) (eV per atom): 0.21
Symmetry: P4/mmm, No. 123
Relative energy among the computed polymorphs (kcal/mol of atoms): 0.00

a = 3.1542 Å, b = 5.4777 Å, c = 5.4777 Å
α = 90.00°, β = 90.00°, γ = 90.00°
With the nearest neighbours (Å) after each atom.
Element x y z (fractional)
Pu  0.0000  0.5000  0.0000  2 Pu 3.15, 4 Hf 3.16, 4 Ag 3.16
Pu  0.0000  0.0000  0.5000  2 Pu 3.15, 4 Hf 3.16, 4 Ag 3.16
Ag  0.5000  0.0000  0.0000  2 Ag 3.15, 8 Pu 3.16
Hf  0.5000  0.5000  0.5000  2 Hf 3.15, 8 Pu 3.16

Record 8
DFT (PBE) results for a relaxed structure of Na3Bi4Pd8.

Calculated values
VASP energy (eV/cell): -130.18
ΔH_f (0 K) (eV per atom): -0.27
Symmetry: Fm-3m, No. 225

a = 9.5280 Å, b = 9.5280 Å, c = 9.5280 Å
α = 60.00°, β = 60.00°, γ = 60.00°
With the nearest neighbours (Å) after each atom.
Element x y z (fractional)
Bi  0.0000  0.0000  0.0000  8 Pd 2.80
Pd  0.3602  0.8799  0.8799  4 Bi 2.80-2.96, 3 Pd 2.98, 3 Na 3.07
Bi  0.0000  0.5000  0.5000  8 Pd 2.75-2.96
Pd  0.3294  0.3294  0.0119  3 Bi 2.75, 6 Pd 2.98-3.02
Na  0.2723  0.2723  0.7277  5 Bi 3.07-3.38, 8 Pd 3.07-3.34
Pd  0.9881  0.6706  0.6706  3 Bi 2.75, 6 Pd 2.98-3.02
Pd  0.0119  0.3294  0.3294  3 Bi 2.75, 6 Pd 2.98-3.02
Pd  0.1201  0.6398  0.1201  4 Bi 2.80-2.96, 3 Pd 2.98, 3 Na 3.07
Bi  0.0000  0.5000  0.0000  8 Pd 2.75-2.96
Pd  0.1201  0.1201  0.6398  4 Bi 2.80-2.96, 3 Pd 2.98, 3 Na 3.07
Bi  0.0000  0.0000  0.5000  8 Pd 2.75-2.96
Pd  0.6398  0.1201  0.1201  4 Bi 2.80-2.96, 3 Pd 2.98, 3 Na 3.07
Pd  0.8799  0.8799  0.8799  4 Bi 2.80-2.96, 3 Pd 2.98, 3 Na 3.07
Na  0.2723  0.7277  0.2723  5 Bi 3.07-3.38, 8 Pd 3.07-3.34
Bi  0.5000  0.0000  0.5000  8 Pd 2.75-2.96
Pd  0.3294  0.0119  0.3294  3 Bi 2.75, 6 Pd 2.98-3.02
Pd  0.6706  0.9881  0.6706  3 Bi 2.75, 6 Pd 2.98-3.02
Pd  0.8799  0.3602  0.8799  4 Bi 2.80-2.96, 3 Pd 2.98, 3 Na 3.07
Bi  0.5000  0.5000  0.0000  8 Pd 2.75-2.96
Pd  0.1201  0.1201  0.1201  4 Bi 2.80-2.96, 3 Pd 2.98, 3 Na 3.07
Pd  0.8799  0.8799  0.3602  4 Bi 2.80-2.96, 3 Pd 2.98, 3 Na 3.07
Bi  0.5000  0.5000  0.5000  6 Na 3.07
Na  0.2723  0.7277  0.7277  5 Bi 3.07-3.38, 8 Pd 3.07-3.34
Bi  0.5000  0.0000  0.0000  8 Pd 2.75-2.96
Pd  0.6706  0.6706  0.9881  3 Bi 2.75, 6 Pd 2.98-3.02
Pd  0.3294  0.3294  0.3294  3 Bi 2.75, 6 Pd 2.98-3.02
Na  0.7277  0.2723  0.2723  5 Bi 3.07-3.38, 8 Pd 3.07-3.34
Pd  0.6706  0.6706  0.6706  3 Bi 2.75, 6 Pd 2.98-3.02
Na  0.7277  0.7277  0.2723  5 Bi 3.07-3.38, 8 Pd 3.07-3.34
Na  0.7277  0.2723  0.7277  5 Bi 3.07-3.38, 8 Pd 3.07-3.34

| no. | DOS(E_F) (states/eV/f.u.) |
| --- | --- |
| 1 | 2.7 |
| 2 | 3.1 |
| 3 | 3.5 |
| 4 | 2.3 |
| 5 | 4.3 |
| 6 | 0.7 |
| 7 | 11.0 |
| 8 | 11.2 |